[1]
This record from Alexandria describes a relaxed structure of RbAlSbSe4. The functional is PBE.

```
data_RbAlSbSe4
_symmetry_space_group_name_H-M 'P 1 21/m 1'
_symmetry_Int_Tables_number 11
_symmetry_space_group_name_Hall '-P 2yb'
_cell_length_a 6.6457
_cell_length_b 7.2298
_cell_length_c 9.2190
_cell_angle_alpha 90.00
_cell_angle_beta 100.76
_cell_angle_gamma 90.00
loop_
_atom_site_label
_atom_site_type_symbol
_atom_site_fract_x
_atom_site_fract_y
_atom_site_fract_z
_atom_site_occupancy
Rb1 Rb 0.2088 0.2500 0.0695 1
Al1 Al 0.3503 0.2500 0.6732 1
Sb1 Sb 0.1602 0.7500 0.4096 1
Se1 Se 0.1269 0.5064 0.7074 1
Se2 Se 0.3248 0.7500 0.1621 1
Se3 Se 0.4337 0.2500 0.4335 1
```

Its mass density is 4.2 g cm⁻³. The calculation puts the uncorrected formation energy at -0.628 eV per atom. The total moment is 0.00 μB/atom.


[2]
This record from Alexandria describes a relaxed structure of Cs2CeHg2I6. The functional is PBE.

```
data_Cs2CeHg2I6
_symmetry_space_group_name_H-M 'C 1 2/m 1'
_symmetry_Int_Tables_number 12
_symmetry_space_group_name_Hall '-C 2y'
_cell_length_a 14.9803
_cell_length_b 11.9809
_cell_length_c 8.4991
_cell_angle_alpha 90.00
_cell_angle_beta 124.54
_cell_angle_gamma 90.00
loop_
_atom_site_label
_atom_site_type_symbol
_atom_site_fract_x
_atom_site_fract_y
_atom_site_fract_z
_atom_site_occupancy
Cs1 Cs 0.2137 0.0000 0.2116 1
Ce1 Ce 0.0000 0.0000 0.5000 1
Hg1 Hg 0.0018 0.5000 0.2689 1
I1 I 0.0022 0.1792 0.2490 1
I2 I 0.2463 0.0000 0.7507 1
```

Its mass density is 4.1 g cm⁻³. The calculation puts the uncorrected formation energy at -1.074 eV per atom. The total moment is 0.00 μB/atom.


[3]
This record from Alexandria describes a relaxed structure of PmNd3Ho. The functional is PBE.

```
data_PmNd3Ho
_symmetry_space_group_name_H-M 'C 1 2/m 1'
_symmetry_Int_Tables_number 12
_symmetry_space_group_name_Hall '-C 2y'
_cell_length_a 17.6083
_cell_length_b 6.8684
_cell_length_c 6.1034
_cell_angle_alpha 90.00
_cell_angle_beta 109.96
_cell_angle_gamma 90.00
loop_
_atom_site_label
_atom_site_type_symbol
_atom_site_fract_x
_atom_site_fract_y
_atom_site_fract_z
_atom_site_occupancy
Pm1 Pm 0.0000 0.0000 0.0000 1
Pm2 Pm 0.0000 0.0000 0.5000 1
Nd1 Nd 0.1528 0.2671 0.4023 1
Nd2 Nd 0.2263 0.0000 0.9751 1
Ho1 Ho 0.0509 0.5000 0.8003 1
```

Its mass density is 7.1 g cm⁻³. The value obtained for the energy above the most stable polymorph in this dataset is 0.0 meV per atom. Its formation energy is 0.185 eV per atom. The total moment is 0.00 μB/atom.


[4]
This record from Alexandria describes a relaxed structure of KLa2Ni. The functional is PBE.

```
data_KLa2Ni
_symmetry_space_group_name_H-M 'F m -3 m'
_symmetry_Int_Tables_number 225
_symmetry_space_group_name_Hall '-F 4 2 3'
_cell_length_a 7.6966
_cell_length_b 7.6966
_cell_length_c 7.6966
_cell_angle_alpha 90.00
_cell_angle_beta 90.00
_cell_angle_gamma 90.00
loop_
_atom_site_label
_atom_site_type_symbol
_atom_site_fract_x
_atom_site_fract_y
_atom_site_fract_z
_atom_site_occupancy
K1 K 0.0000 0.0000 0.0000 1
La1 La 0.2500 0.2500 0.2500 1
Ni1 Ni 0.0000 0.0000 0.5000 1
```

Its mass density is 5.5 g cm⁻³. The value obtained for the energy above the most stable polymorph in this dataset is 542.6 meV per atom. Its formation energy is 0.484 eV per atom. The total moment is 0.00 μB/atom.


[5]
This record from Alexandria describes a relaxed structure of RbCdTePPd. The functional is PBE.

```
data_RbCdTePPd
_symmetry_space_group_name_H-M 'C 1 m 1'
_symmetry_Int_Tables_number 8
_symmetry_space_group_name_Hall 'C -2y'
_cell_length_a 11.2981
_cell_length_b 4.4875
_cell_length_c 6.2223
_cell_angle_alpha 90.00
_cell_angle_beta 117.82
_cell_angle_gamma 90.00
loop_
_atom_site_label
_atom_site_type_symbol
_atom_site_fract_x
_atom_site_fract_y
_atom_site_fract_z
_atom_site_occupancy
Rb1 Rb 0.0000 0.0000 0.0000 1
Cd1 Cd 0.2776 0.5000 0.3402 1
Te1 Te 0.2236 0.0000 0.7443 1
P1 P 0.3605 0.0000 0.2389 1
Pd1 Pd 0.0877 0.5000 0.5179 1
```

Its mass density is 5.5 g cm⁻³. The value obtained for the energy above the most stable polymorph in this dataset is 130.1 meV per atom. The calculation puts the uncorrected formation energy at -0.276 eV per atom. The total moment is 0.00 μB/atom.


[6]
This record from Alexandria describes a relaxed structure of Ga6PdPt12. The functional is PBE.

```
data_Ga6PdPt12
_symmetry_space_group_name_H-M 'R -3 m'
_symmetry_Int_Tables_number 166
_symmetry_space_group_name_Hall '-R 3 2"'
_cell_length_a 11.6982
_cell_length_b 11.6982
_cell_length_c 8.0951
_cell_angle_alpha 90.00
_cell_angle_beta 90.00
_cell_angle_gamma 120.00
loop_
_atom_site_label
_atom_site_type_symbol
_atom_site_fract_x
_atom_site_fract_y
_atom_site_fract_z
_atom_site_occupancy
Ga1 Ga 0.0593 0.5296 0.2421 1
Pd1 Pd 0.0000 0.0000 0.0000 1
Pt1 Pt 0.0000 0.3764 0.5000 1
Pt2 Pt 0.0782 0.1564 0.2871 1
```

Its mass density is 14.9 g cm⁻³. Its formation energy is -0.349 eV per atom. The total moment is 0.00 μB/atom.


[7]
This record from Alexandria describes a relaxed structure of CsTl2Rh2. The functional is PBE.

```
data_CsTl2Rh2
_symmetry_space_group_name_H-M 'P 4/m b m'
_symmetry_Int_Tables_number 127
_symmetry_space_group_name_Hall '-P 4 2ab'
_cell_length_a 8.3749
_cell_length_b 8.3749
_cell_length_c 3.2634
_cell_angle_alpha 90.00
_cell_angle_beta 90.00
_cell_angle_gamma 90.00
loop_
_atom_site_label
_atom_site_type_symbol
_atom_site_fract_x
_atom_site_fract_y
_atom_site_fract_z
_atom_site_occupancy
Cs1 Cs 0.0000 0.0000 0.0000 1
Tl1 Tl 0.1468 0.3532 0.5000 1
Rh1 Rh 0.1400 0.6400 0.0000 1
```

Its mass density is 10.8 g cm⁻³. The value obtained for the energy above the most stable polymorph in this dataset is 9.6 meV per atom. Its formation energy is 0.234 eV per atom. The total moment is 0.00 μB/atom.


[8]
This record from Alexandria describes a relaxed structure of ErTiAlIn. The functional is PBE.

```
data_ErTiAlIn
_symmetry_space_group_name_H-M 'F -4 3 m'
_symmetry_Int_Tables_number 216
_symmetry_space_group_name_Hall 'F -4 2 3'
_cell_length_a 6.9623
_cell_length_b 6.9623
_cell_length_c 6.9623
_cell_angle_alpha 90.00
_cell_angle_beta 90.00
_cell_angle_gamma 90.00
loop_
_atom_site_label
_atom_site_type_symbol
_atom_site_fract_x
_atom_site_fract_y
_atom_site_fract_z
_atom_site_occupancy
Er1 Er 0.0000 0.0000 0.0000 1
Ti1 Ti 0.0000 0.0000 0.5000 1
Al1 Al 0.2500 0.2500 0.2500 1
In1 In 0.2500 0.2500 0.7500 1
```

Its mass density is 7.0 g cm⁻³. Its formation energy is -0.172 eV per atom. The total moment is 0.31 μB/atom.